# 1
A PBEsol-optimized structure of CsK2Ag2, computed with SCAN.

```
data_CsK2Ag2
_symmetry_space_group_name_H-M 'P 1'
_symmetry_Int_Tables_number 1
_cell_length_a 5.338
_cell_length_b 5.338
_cell_length_c 14.375
_cell_angle_alpha 90.00
_cell_angle_beta 90.00
_cell_angle_gamma 90.00
loop_
_symmetry_equiv_pos_as_xyz
'x,y,z'
loop_
_atom_site_label
_atom_site_fract_x
_atom_site_fract_y
_atom_site_fract_z
Cs1 0.000 0.000 0.000
Cs2 0.500 0.500 0.500
K1 0.000 0.500 0.250
K2 0.000 0.500 0.750
K3 0.500 0.000 0.250
K4 0.500 0.000 0.750
Ag1 0.000 0.000 0.406
Ag2 0.000 0.000 0.594
Ag3 0.500 0.500 0.094
Ag4 0.500 0.500 0.906
```

Properties
Calculated formation energy   0.066 eV per atom
Volume   410 Å³/cell
Space group   I4/mmm (139)
Polymorph energy (0 for the lowest one)   0.0 meV/atom



# 2
A PBEsol-optimized structure of CsK3Ag, computed with SCAN.

```
data_CsK3Ag
_symmetry_space_group_name_H-M 'P 1'
_symmetry_Int_Tables_number 1
_cell_length_a 6.737
_cell_length_b 6.737
_cell_length_c 6.737
_cell_angle_alpha 90.00
_cell_angle_beta 90.00
_cell_angle_gamma 90.00
loop_
_symmetry_equiv_pos_as_xyz
'x,y,z'
loop_
_atom_site_label
_atom_site_fract_x
_atom_site_fract_y
_atom_site_fract_z
Cs1 0.000 0.000 0.000
K1 0.000 0.500 0.500
K2 0.500 0.000 0.500
K3 0.500 0.500 0.000
Ag1 0.500 0.500 0.500
```

Properties
Calculated formation energy   0.072 eV per atom
Volume   306 Å³/cell
Space group   Pm-3m (221)
Polymorph energy (0 for the lowest one)   0.0 meV/atom



# 3
A PBEsol-optimized structure of Cs2KAg2, computed with SCAN.

```
data_Cs2KAg2
_symmetry_space_group_name_H-M 'P 1'
_symmetry_Int_Tables_number 1
_cell_length_a 9.754
_cell_length_b 9.754
_cell_length_c 4.741
_cell_angle_alpha 90.00
_cell_angle_beta 90.00
_cell_angle_gamma 90.00
loop_
_symmetry_equiv_pos_as_xyz
'x,y,z'
loop_
_atom_site_label
_atom_site_fract_x
_atom_site_fract_y
_atom_site_fract_z
Cs1 0.143 0.357 0.000
Cs2 0.357 0.857 0.000
Cs3 0.643 0.143 0.000
Cs4 0.857 0.643 0.000
K1 0.000 0.000 0.500
K2 0.500 0.500 0.500
Ag1 0.154 0.654 0.500
Ag2 0.346 0.154 0.500
Ag3 0.654 0.846 0.500
Ag4 0.846 0.346 0.500
```

Properties
Calculated formation energy   0.083 eV per atom
Volume   451 Å³/cell
Space group   P4/mbm (127)



# 4
A PBEsol-optimized structure of CsK2Ag2, computed with SCAN.

```
data_CsK2Ag2
_symmetry_space_group_name_H-M 'P 1'
_symmetry_Int_Tables_number 1
_cell_length_a 9.153
_cell_length_b 9.153
_cell_length_c 4.777
_cell_angle_alpha 90.00
_cell_angle_beta 90.00
_cell_angle_gamma 90.00
loop_
_symmetry_equiv_pos_as_xyz
'x,y,z'
loop_
_atom_site_label
_atom_site_fract_x
_atom_site_fract_y
_atom_site_fract_z
Cs1 0.000 0.000 0.000
Cs2 0.500 0.500 0.000
K1 0.160 0.340 0.500
K2 0.340 0.840 0.500
K3 0.660 0.160 0.500
K4 0.840 0.660 0.500
Ag1 0.109 0.609 0.000
Ag2 0.391 0.109 0.000
Ag3 0.609 0.891 0.000
Ag4 0.891 0.391 0.000
```

Properties
Calculated formation energy   0.087 eV per atom
Volume   400 Å³/cell
Space group   P4/mbm (127)
Polymorph energy (0 for the lowest one)   21.1 meV/atom



# 5
A PBEsol-optimized structure of Cs2KAgSb, computed with SCAN.

```
data_Cs2KAgSb
_symmetry_space_group_name_H-M 'P 1'
_symmetry_Int_Tables_number 1
_cell_length_a 6.555
_cell_length_b 6.555
_cell_length_c 6.097
_cell_angle_alpha 90.00
_cell_angle_beta 90.00
_cell_angle_gamma 90.00
loop_
_symmetry_equiv_pos_as_xyz
'x,y,z'
loop_
_atom_site_label
_atom_site_fract_x
_atom_site_fract_y
_atom_site_fract_z
Cs1 0.000 0.500 0.000
Cs2 0.500 0.000 0.000
K1 0.000 0.000 0.500
Ag1 0.000 0.000 0.000
Sb1 0.500 0.500 0.500
```

Properties
Volume   262 Å³/cell
Space group   P4/mmm (123)
Uncorrected energy   -30.46 eV per atom



# 6
A PBEsol-optimized structure of CsSrLa2Ag, computed with SCAN.

```
data_CsSrLa2Ag
_symmetry_space_group_name_H-M 'P 1'
_symmetry_Int_Tables_number 1
_cell_length_a 5.899
_cell_length_b 5.899
_cell_length_c 5.669
_cell_angle_alpha 90.00
_cell_angle_beta 90.00
_cell_angle_gamma 90.00
loop_
_symmetry_equiv_pos_as_xyz
'x,y,z'
loop_
_atom_site_label
_atom_site_fract_x
_atom_site_fract_y
_atom_site_fract_z
Cs1 0.000 0.000 0.000
Sr1 0.500 0.500 0.500
La1 0.000 0.500 0.000
La2 0.500 0.000 0.000
Ag1 0.000 0.000 0.500
```

Properties
Calculated formation energy   0.834 eV per atom
Volume   197 Å³/cell
Space group   P4/mmm (123)



# 7
A PBEsol-optimized structure of CsLi3Ag, computed with SCAN.

```
data_CsLi3Ag
_symmetry_space_group_name_H-M 'P 1'
_symmetry_Int_Tables_number 1
_cell_length_a 5.187
_cell_length_b 5.187
_cell_length_c 5.187
_cell_angle_alpha 90.00
_cell_angle_beta 90.00
_cell_angle_gamma 90.00
loop_
_symmetry_equiv_pos_as_xyz
'x,y,z'
loop_
_atom_site_label
_atom_site_fract_x
_atom_site_fract_y
_atom_site_fract_z
Cs1 0.000 0.000 0.000
Li1 0.000 0.000 0.500
Li2 0.000 0.500 0.000
Li3 0.500 0.000 0.000
Ag1 0.500 0.500 0.500
```

Properties
Calculated formation energy   0.998 eV per atom
Volume   140 Å³/cell
Space group   Pm-3m (221)
Polymorph energy (0 for the lowest one)   906.6 meV/atom



# 8
A PBEsol-optimized structure of CsLi3Ag, computed with SCAN.

```
data_CsLi3Ag
_symmetry_space_group_name_H-M 'P 1'
_symmetry_Int_Tables_number 1
_cell_length_a 5.370
_cell_length_b 5.370
_cell_length_c 5.370
_cell_angle_alpha 90.00
_cell_angle_beta 90.00
_cell_angle_gamma 90.00
loop_
_symmetry_equiv_pos_as_xyz
'x,y,z'
loop_
_atom_site_label
_atom_site_fract_x
_atom_site_fract_y
_atom_site_fract_z
Cs1 0.000 0.000 0.000
Li1 0.000 0.500 0.500
Li2 0.500 0.000 0.500
Li3 0.500 0.500 0.000
Ag1 0.500 0.500 0.500
```

Properties
Calculated formation energy   0.092 eV per atom
Volume   155 Å³/cell
Space group   Pm-3m (221)
Polymorph energy (0 for the lowest one)   0.0 meV/atom